# 1
The following is a DFT calculation (PBE-GGA) of a relaxed structure of MnGa2PtI.

Properties
As for the space group: P4/mmm (123).

Cell lengths 4.875, 4.875, 5.257 Å; angles 90.00, 90.00, 90.00 degrees
Fractional coordinates of all 5 atoms:
1 Mn 0.000 0.000 0.000
2 Ga 0.000 0.500 0.500
3 Ga 0.500 0.000 0.500
4 Pt 0.000 0.000 0.500
5 I 0.500 0.500 0.000

# 2
The following is a DFT calculation (PBE-GGA) of a relaxed structure of MnGaPt2I.

Properties
As for the space group: P4/mmm (123).

Cell lengths 4.659, 4.659, 5.797 Å; angles 90.00, 90.00, 90.00 degrees
Fractional coordinates of all 5 atoms:
1 Mn 0.000 0.000 0.000
2 Ga 0.500 0.500 0.500
3 Pt 0.000 0.500 0.500
4 Pt 0.500 0.000 0.500
5 I 0.500 0.500 0.000

# 3
The following is a DFT calculation (PBE-GGA) of a relaxed structure of RbMnGaI4.

Properties
As for the space group: P2_1/m (11).

Cell lengths 7.915, 8.290, 9.898 Å; angles 90.00, 107.80, 90.00 degrees
Fractional coordinates of all 14 atoms:
1 Rb 0.239 0.250 0.051
2 Rb 0.761 0.750 0.949
3 Mn 0.231 0.750 0.321
4 Mn 0.769 0.250 0.679
5 Ga 0.228 0.250 0.534
6 Ga 0.772 0.750 0.466
7 I 0.008 0.005 0.272
8 I 0.008 0.495 0.272
9 I 0.423 0.750 0.140
10 I 0.448 0.750 0.588
11 I 0.552 0.250 0.412
12 I 0.577 0.250 0.860
13 I 0.992 0.505 0.728
14 I 0.992 0.995 0.728

# 4
The following is a DFT calculation (PBE-GGA) of a relaxed structure of Rb2MnGaI6.

Properties
As for the space group: Fm-3m (225).

Cell lengths 8.290, 8.290, 8.290 Å; angles 60.00, 60.00, 60.00 degrees
Fractional coordinates of all 10 atoms:
1 Rb 0.250 0.250 0.250
2 Rb 0.750 0.750 0.750
3 Mn 0.000 0.000 0.000
4 Ga 0.500 0.500 0.500
5 I 0.241 0.241 0.759
6 I 0.241 0.759 0.241
7 I 0.241 0.759 0.759
8 I 0.759 0.241 0.241
9 I 0.759 0.241 0.759
10 I 0.759 0.759 0.241

# 5
The following is a DFT calculation (PBE-GGA) of a relaxed structure of MnGaSbI2.

Properties
As for the space group: P4/mmm (123).

Cell lengths 5.763, 5.763, 5.130 Å; angles 90.00, 90.00, 90.00 degrees
Fractional coordinates of all 5 atoms:
1 Mn 0.000 0.000 0.000
2 Ga 0.500 0.500 0.500
3 Sb 0.000 0.000 0.500
4 I 0.000 0.500 0.000
5 I 0.500 0.000 0.000

# 6
The following is a DFT calculation (PBE-GGA) of a relaxed structure of MnGaSbI2.

Properties
As for the space group: P4/mmm (123).

Cell lengths 5.609, 5.609, 5.523 Å; angles 90.00, 90.00, 90.00 degrees
Fractional coordinates of all 5 atoms:
1 Mn 0.000 0.000 0.000
2 Ga 0.500 0.500 0.500
3 Sb 0.500 0.500 0.000
4 I 0.000 0.500 0.500
5 I 0.500 0.000 0.500

# 7
The following is a DFT calculation (PBE-GGA) of a relaxed structure of MnTlGaI4.

Properties
As for the space group: P2_1/m (11).

Cell lengths 7.773, 8.317, 9.380 Å; angles 90.00, 107.18, 90.00 degrees
Fractional coordinates of all 14 atoms:
1 Mn 0.229 0.250 0.314
2 Mn 0.771 0.750 0.686
3 Tl 0.220 0.750 0.054
4 Tl 0.780 0.250 0.946
5 Ga 0.237 0.750 0.552
6 Ga 0.763 0.250 0.448
7 I 0.001 0.503 0.259
8 I 0.001 0.997 0.259
9 I 0.440 0.250 0.134
10 I 0.445 0.250 0.596
11 I 0.555 0.750 0.404
12 I 0.560 0.750 0.866
13 I 0.999 0.003 0.741
14 I 0.999 0.497 0.741

# 8
The following is a DFT calculation (PBE-GGA) of a relaxed structure of Mn2VGaI.

Properties
As for the space group: P4/mmm (123).

Cell lengths 4.691, 4.691, 5.769 Å; angles 90.00, 90.00, 90.00 degrees
Fractional coordinates of all 5 atoms:
1 Mn 0.000 0.500 0.000
2 Mn 0.500 0.000 0.000
3 V 0.000 0.000 0.500
4 Ga 0.500 0.500 0.000
5 I 0.500 0.500 0.500

# 9
The following is a DFT calculation (PBE-GGA) of a relaxed structure of GaMo3I.

Properties
As for the space group: Pm-3m (221).

Cell lengths 4.865, 4.865, 4.865 Å; angles 90.00, 90.00, 90.00 degrees
Fractional coordinates of all 5 atoms:
1 Ga 0.000 0.000 0.000
2 Mo 0.000 0.500 0.500
3 Mo 0.500 0.000 0.500
4 Mo 0.500 0.500 0.000
5 I 0.500 0.500 0.500

# 10
The following is a DFT calculation (PBE-GGA) of a relaxed structure of Ga2MoI8.

Properties
As for the space group: C2/m (12).

Cell lengths 8.811, 8.811, 6.473 Å; angles 94.04, 94.04, 82.93 degrees
Fractional coordinates of all 11 atoms:
1 Ga 0.167 0.167 0.358
2 Ga 0.833 0.833 0.642
3 Mo 0.000 0.000 0.000
4 I 0.115 0.724 0.763
5 I 0.175 0.175 0.778
6 I 0.276 0.885 0.237
7 I 0.357 0.357 0.318
8 I 0.643 0.643 0.682
9 I 0.724 0.115 0.763
10 I 0.825 0.825 0.222
11 I 0.885 0.276 0.237

# 11
The following is a DFT calculation (PBE-GGA) of a relaxed structure of GaMoI3.

Properties
As for the space group: Pm-3m (221).

Cell lengths 5.762, 5.762, 5.762 Å; angles 90.00, 90.00, 90.00 degrees
Fractional coordinates of all 5 atoms:
1 Ga 0.000 0.000 0.000
2 Mo 0.500 0.500 0.500
3 I 0.000 0.500 0.500
4 I 0.500 0.000 0.500
5 I 0.500 0.500 0.000

# 12
The following is a DFT calculation (PBE-GGA) of a relaxed structure of GaMoI3.

Properties
As for the space group: Pm-3m (221).

Cell lengths 5.680, 5.680, 5.680 Å; angles 90.00, 90.00, 90.00 degrees
Fractional coordinates of all 5 atoms:
1 Ga 0.000 0.000 0.000
2 Mo 0.500 0.500 0.500
3 I 0.000 0.000 0.500
4 I 0.000 0.500 0.000
5 I 0.500 0.000 0.000

Number 1: formation energy (no corrections) -0.116 eV/atom, calculated total energy -4.68 eV/atom. Number 2: formation energy (no corrections) 0.683 eV/atom, calculated total energy -4.48 eV/atom. Number 3: formation energy (no corrections) -0.714 eV/atom, calculated total energy -3.48 eV/atom. Number 4: formation energy (no corrections) -0.806 eV/atom, calculated total energy -3.15 eV/atom. Number 5: formation energy (no corrections) 0.172 eV/atom, calculated total energy -3.71 eV/atom. Number 6: formation energy (no corrections) 0.567 eV/atom, calculated total energy -3.32 eV/atom. Number 7: formation energy (no corrections) -0.463 eV/atom, calculated total energy -3.43 eV/atom. Number 8: formation energy (no corrections) 1.136 eV/atom, calculated total energy -5.27 eV/atom. Number 9: formation energy (no corrections) 2.075 eV/atom, calculated total energy -5.34 eV/atom. Number 10: formation energy (no corrections) -0.257 eV/atom, calculated total energy -2.92 eV/atom. Number 11: formation energy (no corrections) 0.194 eV/atom, calculated total energy -3.51 eV/atom. Number 12: formation energy (no corrections) 0.716 eV/atom, calculated total energy -2.99 eV/atom.